Density functional theory data (PBE) for crystalline Tm2Ga2Cu at its relaxed geometry.

POSCAR file:
```
Tm2Ga2Cu
1.0
5.176 -2.149 0.000
5.176 2.149 0.000
-4.821 0.000 9.124
Tm Ga Cu
4 4 2
direct
0.016 0.016 0.333
0.186 0.186 0.107
0.814 0.814 0.893
0.984 0.984 0.667
0.356 0.356 0.437
0.478 0.478 0.116
0.522 0.522 0.884
0.644 0.644 0.563
0.274 0.274 0.655
0.726 0.726 0.345
```

E ... -4.38 eV/atom
Fermi-level density of states ... 4.8 states/eV per cell